<one>
The following is a PBE calculation of a geometry-optimized ScCrP2 structure, from Alexandria via LeMat-Bulk.

D(E_F): 1.261 states/eV/cell
V: 16.66 Å³ per atom
Total magnetic moment: 2.9 μB per formula unit

Structure (POSCAR):
```
ScCrP2
1.0
-0.928 -0.313 -5.416
-3.024 -2.583 -3.804
-2.578 2.587 0.292
Cr P Sc
1 2 1
direct
0.768 0.768 0.875
0.989 0.989 0.875
0.235 0.235 0.375
0.508 0.508 0.375
```

<two>
The following is a PBE calculation of a geometry-optimized ScCrP2 structure, from Alexandria via LeMat-Bulk.

D(E_F): 1.683 states/eV/cell
V: 16.10 Å³ per atom
Total magnetic moment: 2.7 μB per formula unit

Structure (POSCAR):
```
ScCrP2
1.0
-1.873 2.617 3.286
1.873 -2.617 3.286
1.873 2.617 -3.286
Sc Cr P
1 1 2
direct
0.000 0.500 0.500
0.500 0.000 0.500
0.724 0.724 0.000
0.276 0.276 0.000
```

Stability ranking, top and bottom: <one> is the most stable and <two> is the least stable.